VASP calculation (GGA-PBE) on an optimized crystal structure of ZrFe2Ag.

DFT formation energy = 426 meV/atom
DOS at the Fermi energy = 5.3 states/eV/cell
Volume = 16.551 A^3/atom
Polymorph energy (0 for the lowest one) = 0.3384 eV per atom

a = 9.2919 Å, b = 9.2919 Å, c = 9.2919 Å
α = 17.90°, β = 17.90°, γ = 17.90°
Positions (direct):
Zr (0.0000, 0.0000, 0.0000)
Fe (0.2483, 0.2483, 0.2483)
Fe (0.7517, 0.7517, 0.7517)
Ag (0.5000, 0.5000, 0.5000)